A plane-wave DFT calculation with GGA-PBE was carried out for a relaxed structure of TaHgOs.

Results
Space-group type ... Fmm2
Polymorph energy (0 for the lowest one) ... 18.2 kJ/mol of atoms
Energy of formation from the pure elements ... 10.04 kcal/mol of atoms

Unit cell a=7.516 b=7.286 c=2.909 alpha=83.15 beta=74.25 gamma=22.60
Atoms (fractional coordinates):
Ta1 0.000 0.000 0.000
Hg1 0.682 0.682 0.318
Os1 0.360 0.360 0.640


A plane-wave DFT calculation with GGA-PBE was carried out for a relaxed structure of NaSrAg2.

Results
Space-group type ... I-42d
Energy of formation from the pure elements ... 2.44 kcal/mol of atoms

Unit cell a=10.387 b=10.387 c=10.387 alpha=150.98 beta=150.98 gamma=41.50
Atoms (fractional coordinates):
Na1 0.000 0.000 0.000
Na2 0.750 0.250 0.500
Sr1 0.250 0.750 0.500
Sr2 0.500 0.500 0.000
Ag1 0.375 0.209 0.334
Ag2 0.791 0.125 0.166
Ag3 0.875 0.041 0.666
Ag4 0.959 0.625 0.834


A plane-wave DFT calculation with GGA-PBE was carried out for a relaxed structure of Na3Nd2PuO6.

Results
Space-group type ... C2/m
ΔE_f (raw) ... -2517 meV per atom

Unit cell a=6.181 b=6.181 c=6.003 alpha=99.85 beta=99.85 gamma=120.02
Atoms (fractional coordinates):
Na1 0.000 0.000 0.000
Na2 0.337 0.663 0.000
Na3 0.663 0.337 0.000
Nd1 0.167 0.833 0.500
Nd2 0.833 0.167 0.500
Pu1 0.500 0.500 0.500
O1 0.100 0.428 0.283
O2 0.244 0.244 0.716
O3 0.428 0.100 0.283
O4 0.572 0.900 0.717
O5 0.756 0.756 0.284
O6 0.900 0.572 0.717